# Nd5TmZn6

A geometry-optimized Nd5TmZn6 structure (PBE, Alexandria).

**E_form**: -0.309 eV/atom
**SG**: Cmmm
**Magnetic moment**: 0.0 μB per cell

Cell lengths 5.1534, 7.3216, 8.1985 Å; angles 90.00, 71.68, 90.00 degrees
Positions (direct):
Nd (0.6651, 0.0000, 0.6697)
Nd (0.3349, 0.0000, 0.3303)
Nd (0.0000, 0.5000, 0.0000)
Nd (0.6691, 0.5000, 0.6619)
Nd (0.3309, 0.5000, 0.3381)
Tm (0.0000, 0.0000, 0.0000)
Zn (0.8381, 0.2433, 0.3237)
Zn (0.5000, 0.2400, 0.0000)
Zn (0.8381, 0.7567, 0.3237)
Zn (0.1619, 0.7567, 0.6763)
Zn (0.1619, 0.2433, 0.6763)
Zn (0.5000, 0.7600, 0.0000)